Record 1
Compound: Rb2FeCCl6
Source: Alexandria
Functional: PBE
Structure: relaxed

Properties
Final energy   -3.63 eV per atom
Fermi-level density of states   0.3434 states/eV per atom
Energy relative to the elements, uncorrected   -0.5597 eV per atom

a = 6.7757 Å, b = 6.7757 Å, c = 7.2844 Å
α = 62.28°, β = 62.28°, γ = 90.00°
Site moments in Bohr magnetons follow the coordinates.
Element x y z (fractional)
Cl 0.2588 0.7412 0.0000  0.09
Cl 0.7412 0.2588 0.0000  0.09
Cl 0.2588 0.2588 0.0000  0.08
Cl 0.7861 0.7861 0.4279  0.08
Cl 0.2139 0.2139 0.5721  0.08
Cl 0.7412 0.7412 0.0000  0.08
Rb 0.2500 0.7500 0.5000  0.00
Rb 0.7500 0.2500 0.5000  0.00
Fe 0.0000 0.0000 0.0000  3.68
C 0.5000 0.5000 0.0000  -0.23


Record 2
Compound: FeRhC2Cl
Source: Alexandria
Functional: PBE
Structure: relaxed

Properties
Final energy   -5.99 eV per atom
Fermi-level density of states   0.8666 states/eV per atom
Energy relative to the elements, uncorrected   1.2324 eV per atom

a = 3.5403 Å, b = 5.4328 Å, c = 3.5403 Å
α = 90.00°, β = 90.00°, γ = 90.00°
Element x y z (fractional)
Rh 0.0000 0.5000 0.0000
C 0.0000 0.0000 0.5000
C 0.5000 0.0000 0.0000
Fe 0.0000 0.0000 0.0000
Cl 0.5000 0.5000 0.5000


Record 3
Compound: FeCSCl2
Source: Alexandria
Functional: PBE
Structure: relaxed

Properties
Final energy   -3.86 eV per atom
Fermi-level density of states   0.7056 states/eV per atom
Energy relative to the elements, uncorrected   1.2398 eV per atom

a = 5.4322 Å, b = 3.3450 Å, c = 5.4322 Å
α = 90.00°, β = 90.00°, γ = 90.00°
Site moments in Bohr magnetons follow the coordinates.
Element x y z (fractional)
Cl 0.5000 0.0000 0.0000  0.04
Cl 0.0000 0.0000 0.5000  0.01
S 0.0000 0.0000 0.0000  0.00
Fe 0.5000 0.5000 0.5000  3.25
C 0.0000 0.5000 0.0000  0.01


Record 4
Compound: FeCSCl2
Source: Alexandria
Functional: PBE
Structure: relaxed

Properties
Final energy   -3.64 eV per atom
Fermi-level density of states   1.7304 states/eV per atom
Energy relative to the elements, uncorrected   1.4658 eV per atom

a = 4.6042 Å, b = 4.6042 Å, c = 4.2457 Å
α = 90.00°, β = 90.00°, γ = 90.00°
Element x y z (fractional)
C 0.5000 0.5000 0.5000
Cl 0.0000 0.5000 0.0000
Cl 0.5000 0.0000 0.0000
Fe 0.0000 0.0000 0.0000
S 0.0000 0.0000 0.5000


Record 5
Compound: FeCSCl2
Source: Alexandria
Functional: PBE
Structure: relaxed

Properties
Final energy   -3.87 eV per atom
Fermi-level density of states   0.9296 states/eV per atom
Energy relative to the elements, uncorrected   1.2314 eV per atom

a = 4.4738 Å, b = 4.4738 Å, c = 4.0652 Å
α = 90.00°, β = 90.00°, γ = 90.00°
Site moments in Bohr magnetons follow the coordinates.
Element x y z (fractional)
Cl 0.0000 0.5000 0.0000  0.08
Cl 0.5000 0.0000 0.0000  0.08
S 0.0000 0.0000 0.5000  0.15
Fe 0.5000 0.5000 0.5000  3.40
C 0.0000 0.0000 0.0000  -0.02


Record 6
Compound: Sr2FeCCl
Source: Alexandria
Functional: PBE
Structure: relaxed

Properties
Final energy   -3.63 eV per atom
Fermi-level density of states   1.1401 states/eV per atom
Energy relative to the elements, uncorrected   0.9461 eV per atom

a = 5.5852 Å, b = 4.3097 Å, c = 5.5852 Å
α = 90.00°, β = 90.00°, γ = 90.00°
Site moments in Bohr magnetons follow the coordinates.
Element x y z (fractional)
Fe 0.5000 0.5000 0.5000  2.98
C 0.0000 0.5000 0.0000  0.10
Sr 0.0000 0.0000 0.5000  -0.04
Sr 0.5000 0.0000 0.0000  -0.04
Cl 0.0000 0.0000 0.0000  0.00


Record 7
Compound: VFeC2Cl
Source: Alexandria
Functional: PBE
Structure: relaxed

Properties
Final energy   -4.67 eV per atom
Fermi-level density of states   1.2727 states/eV per atom
Energy relative to the elements, uncorrected   2.9057 eV per atom

a = 3.8087 Å, b = 4.2545 Å, c = 3.8087 Å
α = 90.00°, β = 90.00°, γ = 90.00°
Site moments in Bohr magnetons follow the coordinates.
Element x y z (fractional)
Fe 0.5000 0.5000 0.5000  -0.07
C 0.5000 0.0000 0.0000  0.06
C 0.0000 0.0000 0.5000  0.04
V 0.0000 0.5000 0.0000  -1.63
Cl 0.0000 0.0000 0.0000  0.04


Record 8
Compound: Ga2CCl
Source: Alexandria
Functional: PBE
Structure: relaxed

Properties
Final energy   -3.15 eV per atom
Fermi-level density of states   0.4643 states/eV per atom
Energy relative to the elements, uncorrected   1.1305 eV per atom

a = 4.4858 Å, b = 4.4858 Å, c = 4.4858 Å
α = 60.00°, β = 60.00°, γ = 60.00°
Element x y z (fractional)
C 0.0000 0.0000 0.0000
Ga 0.2500 0.2500 0.2500
Ga 0.7500 0.7500 0.7500
Cl 0.5000 0.5000 0.5000